Entry 1:
Material: TaAsRh3
Method: DFT, SCAN
State: PBEsol geometry

Results
- DOS(E_F): 3.55 states/eV/cell
- Offset from the most stable computed form: 0.00 eV/f.u.
- Total moment: 2.82 μB/f.u.

Cell lengths 4.432, 4.432, 4.432 Å; angles 90.00, 90.00, 90.00 degrees
Space group Pm-3m (No. 221)
Symmetry-distinct sites (fractional):
1 Ta 0.000 0.000 0.000 x1
2 As 0.500 0.500 0.500 x1
3 Rh 0.000 0.500 0.500 x3


Entry 2:
Material: Zn2Sb2Pb
Method: DFT, SCAN
State: PBEsol geometry

Results
- DOS(E_F): 3.83 states/eV/cell
- Total moment: 0.00 μB/f.u.
- Total energy: -354.1 eV per cell

Cell lengths 4.020, 4.020, 14.865 Å; angles 90.00, 90.00, 90.00 degrees
Space group I4/mmm (No. 139)
Symmetry-distinct sites (fractional):
1 Zn 0.000 0.500 0.250 x4
2 Sb 0.000 0.000 0.124 x4
3 Pb 0.000 0.000 0.500 x2


Entry 3:
Material: LaY2Cl
Method: DFT, SCAN
State: PBEsol geometry

Results
- DOS(E_F): 4.43 states/eV/cell
- Offset from the most stable computed form: 0.00 eV/f.u.
- Total moment: 0.00 μB/f.u.

Cell lengths 5.684, 5.684, 3.457 Å; angles 90.00, 90.00, 90.00 degrees
Space group P4/mmm (No. 123)
Symmetry-distinct sites (fractional):
1 La 0.000 0.000 0.000 x1
2 Y 0.000 0.500 0.500 x2
3 Cl 0.500 0.500 0.000 x1


Entry 4:
Material: HfSbAsSe2
Method: DFT, SCAN
State: PBEsol geometry

Results
- DOS(E_F): 3.95 states/eV/cell
- Total moment: 0.00 μB/f.u.
- Total energy: -160.7 eV per cell

Cell lengths 5.017, 5.017, 5.217 Å; angles 90.00, 90.00, 90.00 degrees
Space group P4/mmm (No. 123)
Symmetry-distinct sites (fractional):
1 Hf 0.000 0.000 0.000 x1
2 Sb 0.500 0.500 0.500 x1
3 As 0.000 0.000 0.500 x1
4 Se 0.000 0.500 0.000 x2


Entry 5:
Material: HfAsN2F
Method: DFT, SCAN
State: PBEsol geometry

Results
- DOS(E_F): 2.27 states/eV/cell
- Total moment: 0.01 μB/f.u.
- Total energy: -104.4 eV per cell

Cell lengths 3.908, 3.908, 3.784 Å; angles 90.00, 90.00, 90.00 degrees
Space group P4/mmm (No. 123)
Symmetry-distinct sites (fractional):
1 Hf 0.000 0.000 0.000 x1
2 As 0.500 0.500 0.500 x1
3 N 0.000 0.500 0.500 x2
4 F 0.500 0.500 0.000 x1


Entry 6:
Material: CdRe2Ir
Method: DFT, SCAN
State: PBEsol geometry

Results
- DOS(E_F): 3.33 states/eV/cell
- Total moment: 0.00 μB/f.u.
- Total energy: -242.5 eV per cell

Cell lengths 2.758, 3.913, 5.727 Å; angles 90.00, 90.00, 90.00 degrees
Space group Pmm2 (No. 25)
Symmetry-distinct sites (fractional):
1 Cd 0.000 0.000 0.000 x1
2 Re 0.000 0.000 0.504 x1
3 Re 0.500 0.500 0.715 x1
4 Ir 0.500 0.500 0.257 x1


Entry 7:
Material: VPH9O9
Method: DFT, SCAN
State: PBEsol geometry

Results
- DOS(E_F): 0.00 states/eV/cell
- Total moment: 1.00 μB/f.u.
- Total energy: -583.8 eV per cell

Cell lengths 6.360, 8.689, 12.847 Å; angles 79.93, 77.97, 71.58 degrees
Space group P-1 (No. 2)
Symmetry-distinct sites (fractional):
1 V 0.143 0.000 0.194 x2
2 V 0.254 0.375 0.688 x2
3 P 0.275 0.618 0.269 x2
4 P 0.382 0.993 0.754 x2
5 H 0.001 0.745 0.437 x2
6 H 0.054 0.683 0.615 x2
7 H 0.073 0.672 0.743 x2
8 H 0.095 0.734 0.903 x2
9 H 0.151 0.288 0.097 x2
10 H 0.153 0.103 0.497 x2
11 H 0.179 0.023 0.951 x2
12 H 0.192 0.855 0.510 x2
13 H 0.215 0.357 0.484 x2
14 H 0.216 0.721 0.056 x2
15 H 0.266 0.555 0.003 x2
16 H 0.296 0.347 0.936 x2
17 H 0.359 0.487 0.457 x2
18 H 0.388 0.860 0.618 x2
19 H 0.401 0.938 0.993 x2
20 H 0.426 0.883 0.448 x2
21 H 0.433 0.353 0.252 x2
22 H 0.471 0.336 0.018 x2
23 O 0.026 0.244 0.146 x2
24 O 0.041 0.633 0.337 x2
25 O 0.044 0.216 0.490 x2
26 O 0.086 0.999 0.321 x2
27 O 0.142 0.621 0.674 x2
28 O 0.153 0.012 0.829 x2
29 O 0.228 0.355 0.817 x2
30 O 0.247 0.003 0.018 x2
31 O 0.259 0.676 0.986 x2
32 O 0.270 0.760 0.179 x2
33 O 0.300 0.410 0.515 x2
34 O 0.307 0.364 0.010 x2
35 O 0.309 0.908 0.513 x2
36 O 0.360 0.460 0.210 x2
37 O 0.378 0.138 0.665 x2
38 O 0.431 0.608 0.349 x2
39 O 0.444 0.036 0.174 x2
40 O 0.446 0.837 0.693 x2


Entry 8:
Material: K2HoPCO7
Method: DFT, SCAN
State: PBEsol geometry

Results
- DOS(E_F): 0.00 states/eV/cell
- Total moment: 0.07 μB/f.u.
- Total energy: -322.0 eV per cell

Cell lengths 5.666, 7.035, 9.932 Å; angles 90.00, 90.45, 90.00 degrees
Space group P2_1/m (No. 11)
Symmetry-distinct sites (fractional):
1 K 0.245 0.017 0.283 x4
2 Ho 0.294 0.250 0.877 x2
3 P 0.213 0.750 0.934 x2
4 C 0.241 0.250 0.605 x2
5 O 0.062 0.250 0.056 x2
6 O 0.065 0.250 0.692 x2
7 O 0.206 0.250 0.480 x2
8 O 0.295 0.568 0.860 x4
9 O 0.322 0.750 0.079 x2
10 O 0.450 0.250 0.662 x2


Entry 9:
Material: SrLi2Pb
Method: DFT, SCAN
State: PBEsol geometry

Results
- DOS(E_F): 1.91 states/eV/cell
- Total moment: 0.23 μB/f.u.
- Total energy: -104.1 eV per cell

Cell lengths 3.648, 5.155, 5.931 Å; angles 90.00, 94.68, 90.00 degrees
Space group P2/m (No. 10)
Symmetry-distinct sites (fractional):
1 Sr 0.000 0.000 0.000 x1
2 Li 0.315 0.500 0.695 x2
3 Pb 0.500 0.000 0.500 x1


Entry 10:
Material: FeCo5
Method: DFT, SCAN
State: PBEsol geometry

Results
- DOS(E_F): 4.26 states/eV/cell
- Total moment: 12.14 μB/f.u.
- Total energy: -105.0 eV per cell

Cell lengths 3.9140, 3.9140, 4.8126 Å; angles 90.00, 90.00, 120.00 degrees
Space group P-3m1 (No. 164)
Symmetry-distinct sites (fractional):
1 Fe 0.0000 0.0000 0.0000 x1
2 Co 0.0000 0.0000 0.5000 x1
3 Co 0.3333 0.6667 0.3453 x2
4 Co 0.3333 0.6667 0.8412 x2


Entry 11:
Material: CaAuCl2
Method: DFT, SCAN
State: PBEsol geometry

Results
- DOS(E_F): 1.94 states/eV/cell
- Offset from the most stable computed form: 0.00 eV/f.u.
- Total moment: 0.00 μB/f.u.

Cell lengths 4.005, 4.005, 10.280 Å; angles 90.00, 90.00, 90.00 degrees
Space group I-4m2 (No. 119)
Symmetry-distinct sites (fractional):
1 Ca 0.000 0.000 0.000 x2
2 Au 0.000 0.500 0.750 x2
3 Cl 0.000 0.000 0.500 x2
4 Cl 0.000 0.500 0.250 x2


Entry 12:
Material: Pt2Rh
Method: DFT, SCAN
State: PBEsol geometry

Results
- DOS(E_F): 38.77 states/eV/cell
- Total moment: 0.00 μB/f.u.
- Total energy: -1393.5 eV per cell

Cell lengths 3.864, 3.864, 23.231 Å; angles 90.00, 90.00, 90.00 degrees
Space group I4_1/amd (No. 141, origin choice 2)
Symmetry-distinct sites (fractional):
1 Pt 0.000 0.250 0.125 x8
2 Pt 0.000 0.250 0.291 x8
3 Rh 0.000 0.250 0.790 x8


Entry 13:
Material: CdCo2As
Method: DFT, SCAN
State: PBEsol geometry

Results
- DOS(E_F): 10.34 states/eV/cell
- Offset from the most stable computed form: 1.70 eV/f.u.
- Total moment: 2.93 μB/f.u.

Cell lengths 6.096, 6.096, 6.096 Å; angles 90.00, 90.00, 90.00 degrees
Space group F-43m (No. 216)
Symmetry-distinct sites (fractional):
1 Cd 0.000 0.000 0.000 x4
2 Co 0.000 0.000 0.500 x4
3 Co 0.250 0.250 0.250 x4
4 As 0.250 0.250 0.750 x4


Entry 14:
Material: ScTiP2N
Method: DFT, SCAN
State: PBEsol geometry

Results
- DOS(E_F): 3.74 states/eV/cell
- Total moment: 1.00 μB/f.u.
- Total energy: -61.9 eV per cell

Cell lengths 4.704, 4.704, 3.777 Å; angles 90.00, 90.00, 90.00 degrees
Space group P4/mmm (No. 123)
Symmetry-distinct sites (fractional):
1 Sc 0.000 0.000 0.000 x1
2 Ti 0.500 0.500 0.500 x1
3 P 0.000 0.500 0.500 x2
4 N 0.500 0.500 0.000 x1


Entry 15:
Material: SnTe2RhI
Method: DFT, SCAN
State: PBEsol geometry

Results
- DOS(E_F): 3.58 states/eV/cell
- Total moment: 2.32 μB/f.u.
- Total energy: -175.7 eV per cell

Cell lengths 5.568, 5.568, 5.718 Å; angles 90.00, 90.00, 90.00 degrees
Space group P4/mmm (No. 123)
Symmetry-distinct sites (fractional):
1 Sn 0.000 0.000 0.000 x1
2 Te 0.000 0.500 0.000 x2
3 Rh 0.500 0.500 0.500 x1
4 I 0.000 0.000 0.500 x1


Entry 16:
Material: Ag2Au
Method: DFT, SCAN
State: PBEsol geometry

Results
- DOS(E_F): 1.44 states/eV/cell
- Offset from the most stable computed form: 0.04 eV/f.u.
- Total moment: 0.00 μB/f.u.

Cell lengths 2.847, 2.847, 12.313 Å; angles 90.00, 90.00, 90.00 degrees
Space group I4/mmm (No. 139)
Symmetry-distinct sites (fractional):
1 Ag 0.000 0.000 0.167 x4
2 Au 0.000 0.000 0.500 x2


Entry 17:
Material: LaSbSe2
Method: DFT, SCAN
State: PBEsol geometry

Results
- DOS(E_F): 1.16 states/eV/cell
- Offset from the most stable computed form: 0.00 eV/f.u.
- Total moment: 0.00 μB/f.u.

Cell lengths 3.905, 3.867, 6.942 Å; angles 90.00, 104.95, 90.00 degrees
Space group P2/m (No. 10)
Symmetry-distinct sites (fractional):
1 La 0.000 0.000 0.000 x1
2 Sb 0.000 0.000 0.500 x1
3 Se 0.387 0.500 0.768 x2


Entry 18:
Material: ScHSCl2
Method: DFT, SCAN
State: PBEsol geometry

Results
- DOS(E_F): 2.15 states/eV/cell
- Offset from the most stable computed form: 1.80 eV/f.u.
- Total moment: 0.30 μB/f.u.

Cell lengths 4.730, 4.730, 3.381 Å; angles 90.00, 90.00, 90.00 degrees
Space group P4/mmm (No. 123)
Symmetry-distinct sites (fractional):
1 Sc 0.000 0.000 0.000 x1
2 H 0.500 0.500 0.500 x1
3 S 0.500 0.500 0.000 x1
4 Cl 0.000 0.500 0.500 x2


Entry 19:
Material: ScIr3
Method: DFT, SCAN
State: PBEsol geometry

Results
- DOS(E_F): 9.47 states/eV/cell
- Total moment: 0.00 μB/f.u.
- Total energy: -921.5 eV per cell

Cell lengths 3.884, 3.884, 15.727 Å; angles 90.00, 90.00, 90.00 degrees
Space group I4/mmm (No. 139)
Symmetry-distinct sites (fractional):
1 Sc 0.000 0.000 0.120 x4
2 Ir 0.000 0.000 0.373 x4
3 Ir 0.000 0.500 0.000 x4
4 Ir 0.000 0.500 0.250 x4


Entry 20:
Material: Ba4Ca4Cu6Hg2O17
Method: DFT, SCAN
State: PBEsol geometry

Results
- DOS(E_F): 13.57 states/eV/cell
- Total moment: 0.76 μB/f.u.
- Total energy: -1183.3 eV per cell

Cell lengths 5.383, 5.383, 31.662 Å; angles 90.00, 90.00, 90.00 degrees
Space group I4/mmm (No. 139)
Symmetry-distinct sites (fractional):
1 Ba 0.000 0.000 0.084 x4
2 Ba 0.000 0.000 0.412 x4
3 Ca 0.000 0.000 0.198 x4
4 Ca 0.000 0.000 0.301 x4
5 Cu 0.000 0.500 0.150 x8
6 Cu 0.000 0.500 0.250 x4
7 Hg 0.000 0.500 0.000 x4
8 O 0.000 0.000 0.000 x2
9 O 0.000 0.500 0.064 x8
10 O 0.249 0.249 0.348 x16
11 O 0.250 0.250 0.250 x8


Entry 21:
Material: NaCaTi2
Method: DFT, SCAN
State: PBEsol geometry

Results
- DOS(E_F): 21.95 states/eV/cell
- Total moment: 0.23 μB/f.u.
- Total energy: -166.7 eV per cell

Cell lengths 7.171, 7.171, 7.171 Å; angles 90.00, 90.00, 90.00 degrees
Space group Fm-3m (No. 225)
Symmetry-distinct sites (fractional):
1 Na 0.000 0.000 0.000 x4
2 Ca 0.000 0.000 0.500 x4
3 Ti 0.250 0.250 0.250 x8


Entry 22:
Material: LaYZn
Method: DFT, SCAN
State: PBEsol geometry

Results
- DOS(E_F): 3.00 states/eV/cell
- Offset from the most stable computed form: 1.85 eV/f.u.
- Total moment: 0.00 μB/f.u.

Cell lengths 6.928, 6.928, 6.928 Å; angles 90.00, 90.00, 90.00 degrees
Space group F-43m (No. 216)
Symmetry-distinct sites (fractional):
1 La 0.000 0.000 0.000 x4
2 Y 0.250 0.250 0.250 x4
3 Zn 0.000 0.000 0.500 x4